1.
## Ca3HgO4 (GGA-PBE)

Data for crystalline Ca3HgO4 at its relaxed geometry.

Output
SG ... No. 59
Uncorrected formation energy ... -2.24 eV/atom

Lattice parameters (Å, degrees): 4.839 8.039 6.979 90.00 90.00 90.00
Fractional positions:
Ca1 0.250 0.002 0.169
Ca2 0.250 0.250 0.657
Ca3 0.250 0.498 0.169
Ca4 0.750 0.502 0.831
Ca5 0.750 0.750 0.343
Ca6 0.750 0.998 0.831
Hg1 0.250 0.750 0.672
Hg2 0.750 0.250 0.328
O1 0.250 0.010 0.838
O2 0.250 0.250 0.329
O3 0.250 0.490 0.838
O4 0.250 0.750 0.329
O5 0.750 0.250 0.671
O6 0.750 0.510 0.162
O7 0.750 0.750 0.671
O8 0.750 0.990 0.162

***

2.
## CaHgO2 (GGA-PBE)

Data for crystalline CaHgO2 at its relaxed geometry.

Output
SG ... No. 122
Uncorrected formation energy ... -1.53 eV/atom

Lattice parameters (Å, degrees): 6.596 6.596 6.596 134.02 134.02 67.06
Fractional positions:
Ca1 0.000 0.000 0.000
Ca2 0.750 0.250 0.500
Hg1 0.250 0.750 0.500
Hg2 0.500 0.500 0.000
O1 0.116 0.625 0.991
O2 0.375 0.366 0.491
O3 0.634 0.125 0.009
O4 0.875 0.884 0.509

***

3.
## Ca12Hg3O5 (GGA-PBE)

Data for crystalline Ca12Hg3O5 at its relaxed geometry.

Output
SG ... No. 230
Uncorrected formation energy ... -1.50 eV/atom

Lattice parameters (Å, degrees): 13.735 13.735 13.735 109.47 109.47 109.47
Fractional positions:
Ca1 0.011 0.197 0.113
Ca2 0.011 0.314 0.897
Ca3 0.083 0.697 0.686
Ca4 0.083 0.887 0.397
Ca5 0.103 0.613 0.417
Ca6 0.103 0.989 0.686
Ca7 0.113 0.011 0.197
Ca8 0.113 0.603 0.917
Ca9 0.186 0.197 0.583
Ca10 0.186 0.489 0.603
Ca11 0.197 0.113 0.011
Ca12 0.197 0.583 0.186
Ca13 0.303 0.314 0.917
Ca14 0.303 0.489 0.387
Ca15 0.314 0.897 0.011
Ca16 0.314 0.917 0.303
Ca17 0.387 0.303 0.489
Ca18 0.387 0.583 0.897
Ca19 0.397 0.083 0.887
Ca20 0.397 0.814 0.511
Ca21 0.417 0.103 0.613
Ca22 0.417 0.814 0.803
Ca23 0.489 0.387 0.303
Ca24 0.489 0.603 0.186
Ca25 0.511 0.397 0.814
Ca26 0.511 0.613 0.697
Ca27 0.583 0.186 0.197
Ca28 0.583 0.897 0.387
Ca29 0.603 0.186 0.489
Ca30 0.603 0.917 0.113
Ca31 0.613 0.417 0.103
Ca32 0.613 0.697 0.511
Ca33 0.686 0.083 0.697
Ca34 0.686 0.103 0.989
Ca35 0.697 0.511 0.613
Ca36 0.697 0.686 0.083
Ca37 0.803 0.417 0.814
Ca38 0.803 0.887 0.989
Ca39 0.814 0.511 0.397
Ca40 0.814 0.803 0.417
Ca41 0.887 0.397 0.083
Ca42 0.887 0.989 0.803
Ca43 0.897 0.011 0.314
Ca44 0.897 0.387 0.583
Ca45 0.917 0.113 0.603
Ca46 0.917 0.303 0.314
Ca47 0.989 0.686 0.103
Ca48 0.989 0.803 0.887
Hg1 0.125 0.250 0.375
Hg2 0.125 0.375 0.750
Hg3 0.250 0.375 0.125
Hg4 0.250 0.875 0.625
Hg5 0.375 0.125 0.250
Hg6 0.375 0.750 0.125
Hg7 0.625 0.250 0.875
Hg8 0.625 0.875 0.750
Hg9 0.750 0.125 0.375
Hg10 0.750 0.625 0.875
Hg11 0.875 0.625 0.250
Hg12 0.875 0.750 0.625
O1 0.000 0.000 0.000
O2 0.000 0.000 0.500
O3 0.000 0.500 0.000
O4 0.000 0.500 0.500
O5 0.125 0.750 0.875
O6 0.125 0.875 0.250
O7 0.250 0.125 0.875
O8 0.250 0.625 0.375
O9 0.375 0.250 0.625
O10 0.375 0.625 0.750
O11 0.500 0.000 0.000
O12 0.500 0.000 0.500
O13 0.500 0.500 0.000
O14 0.500 0.500 0.500
O15 0.625 0.375 0.250
O16 0.625 0.750 0.375
O17 0.750 0.375 0.625
O18 0.750 0.875 0.125
O19 0.875 0.125 0.750
O20 0.875 0.250 0.125

***

4.
## Ca2HgO3 (GGA-PBE)

Data for crystalline Ca2HgO3 at its relaxed geometry.

Output
SG ... No. 63
Uncorrected formation energy ... -2.01 eV/atom

Lattice parameters (Å, degrees): 7.017 7.017 4.858 90.00 90.00 58.60
Fractional positions:
Ca1 0.010 0.662 0.750
Ca2 0.338 0.990 0.750
Ca3 0.662 0.010 0.250
Ca4 0.990 0.338 0.250
Hg1 0.322 0.678 0.250
Hg2 0.678 0.322 0.750
O1 0.011 0.333 0.750
O2 0.333 0.011 0.250
O3 0.333 0.667 0.750
O4 0.667 0.333 0.250
O5 0.667 0.989 0.750
O6 0.989 0.667 0.250

***

5.
## Ca4HgO5 (GGA-PBE)

Data for crystalline Ca4HgO5 at its relaxed geometry.

Output
SG ... No. 87
Uncorrected formation energy ... -2.42 eV/atom

Lattice parameters (Å, degrees): 5.954 5.954 5.954 99.51 99.51 132.02
Fractional positions:
Ca1 0.104 0.700 0.804
Ca2 0.300 0.104 0.404
Ca3 0.700 0.896 0.596
Ca4 0.896 0.300 0.196
Hg1 0.500 0.500 0.000
O1 0.000 0.000 0.000
O2 0.188 0.394 0.582
O3 0.394 0.812 0.206
O4 0.606 0.188 0.794
O5 0.812 0.606 0.418

***

6.
## CaHg2O (GGA-PBE)

Data for crystalline CaHg2O at its relaxed geometry.

Output
SG ... No. 122
Uncorrected formation energy ... -0.85 eV/atom

Lattice parameters (Å, degrees): 7.527 7.527 7.527 94.68 94.68 146.82
Fractional positions:
Ca1 0.000 0.000 0.000
Ca2 0.750 0.250 0.500
Hg1 0.234 0.125 0.609
Hg2 0.375 0.766 0.891
Hg3 0.516 0.625 0.391
Hg4 0.875 0.484 0.109
O1 0.250 0.750 0.500
O2 0.500 0.500 0.000